First-principles (GGA-PBE) data for Si3PtO after structural relaxation, as listed in Alexandria via LeMat-Bulk.

abc: 4.0770 4.0770 4.0770
angles: 90.00 90.00 90.00
Fractional positions:
Pt (0.5000, 0.5000, 0.5000)
O (0.0000, 0.0000, 0.0000)
Si (0.5000, 0.0000, 0.0000)
Si (0.0000, 0.0000, 0.5000)
Si (0.0000, 0.5000, 0.0000)

Output
Excess energy over the best structure of this formula in the dataset = 0 meV/atom

First-principles (GGA-PBE) data for SiPtO2 after structural relaxation, as listed in Alexandria via LeMat-Bulk.

abc: 5.2803 5.2803 5.2831
angles: 60.02 60.02 90.00
Fractional positions:
O (0.3798, 0.6250, 0.2500)
O (0.3750, 0.6298, 0.7500)
O (0.3702, 0.1250, 0.2500)
O (0.8750, 0.6202, 0.7500)
Pt (0.7500, 0.2500, 0.5000)
Pt (0.0000, 0.0000, 0.0000)
Si (0.2500, 0.7500, 0.5000)
Si (0.5000, 0.5000, 0.0000)

Output
Excess energy over the best structure of this formula in the dataset = 508 meV/atom

First-principles (GGA-PBE) data for SiPt3O after structural relaxation, as listed in Alexandria via LeMat-Bulk.

abc: 4.2755 4.2755 4.2755
angles: 90.00 90.00 90.00
Fractional positions:
Pt (0.0000, 0.0000, 0.5000)
Pt (0.5000, 0.0000, 0.0000)
Pt (0.0000, 0.5000, 0.0000)
Si (0.5000, 0.5000, 0.5000)
O (0.0000, 0.0000, 0.0000)

Output
Excess energy over the best structure of this formula in the dataset = 0 meV/atom

First-principles (GGA-PBE) data for SiPtO3 after structural relaxation, as listed in Alexandria via LeMat-Bulk.

abc: 3.9377 3.9377 3.9377
angles: 90.00 90.00 90.00
Fractional positions:
O (0.0000, 0.5000, 0.0000)
O (0.0000, 0.0000, 0.5000)
O (0.5000, 0.0000, 0.0000)
Si (0.5000, 0.5000, 0.5000)
Pt (0.0000, 0.0000, 0.0000)

Computed values of formation energy from raw total energies (unit: eV per atom) for the preceding records, in sequence: 0.0268; -1.1307; 0.5999; 0.1163.